# Y2ErTc9 GGA-PBE relaxed
# spin magnetization = 0.000 μB per atom
# Fermi-level density of states = 1.1264 states/eV per atom
# symmetry = R-3m
# formation energy from the elements = -0.0513 eV per atom
# DFT total energy = -9.28 eV/atom
data_Y2ErTc9
_symmetry_space_group_name_H-M 'P 1'
_symmetry_Int_Tables_number 1
_symmetry_space_group_name_Hall 'P 1'
_cell_length_a 9.270
_cell_length_b 9.270
_cell_length_c 9.270
_cell_angle_alpha 33.52
_cell_angle_beta 33.52
_cell_angle_gamma 33.52
loop_
_atom_site_label
_atom_site_type_symbol
_atom_site_fract_x
_atom_site_fract_y
_atom_site_fract_z
Y1 Y 0.143 0.143 0.143
Y2 Y 0.857 0.857 0.857
Er1 Er 0.000 0.000 0.000
Tc1 Tc 0.073 0.588 0.588
Tc2 Tc 0.338 0.338 0.338
Tc3 Tc 0.412 0.412 0.927
Tc4 Tc 0.412 0.927 0.412
Tc5 Tc 0.500 0.500 0.500
Tc6 Tc 0.588 0.073 0.588
Tc7 Tc 0.588 0.588 0.073
Tc8 Tc 0.662 0.662 0.662
Tc9 Tc 0.927 0.412 0.412

***

# YEr2Tc GGA-PBE relaxed
# spin magnetization = 0.129 μB per atom
# Fermi-level density of states = 1.5269 states/eV per atom
# symmetry = R-3m
# formation energy from the elements = 0.2514 eV per atom
# offset from the most stable computed form = 374 meV per atom
# DFT total energy = -6.24 eV/atom
data_YEr2Tc
_symmetry_space_group_name_H-M 'P 1'
_symmetry_Int_Tables_number 1
_symmetry_space_group_name_Hall 'P 1'
_cell_length_a 3.411
_cell_length_b 3.411
_cell_length_c 32.475
_cell_angle_alpha 90.00
_cell_angle_beta 90.00
_cell_angle_gamma 120.00
loop_
_atom_site_label
_atom_site_type_symbol
_atom_site_fract_x
_atom_site_fract_y
_atom_site_fract_z
Y1 Y 0.000 0.000 0.000
Y2 Y 0.333 0.667 0.667
Y3 Y 0.667 0.333 0.333
Er1 Er 0.000 0.000 0.105
Er2 Er 0.000 0.000 0.895
Er3 Er 0.333 0.667 0.562
Er4 Er 0.333 0.667 0.772
Er5 Er 0.667 0.333 0.228
Er6 Er 0.667 0.333 0.438
Tc1 Tc 0.000 0.000 0.500
Tc2 Tc 0.333 0.667 0.167
Tc3 Tc 0.667 0.333 0.833

***

# YEr3Tc GGA-PBE relaxed
# spin magnetization = 0.000 μB per atom
# Fermi-level density of states = 0.9720 states/eV per atom
# symmetry = C2/m
# formation energy from the elements = -0.0301 eV per atom
# offset from the most stable computed form = 0 meV per atom
# DFT total energy = -6.13 eV/atom
data_YEr3Tc
_symmetry_space_group_name_H-M 'P 1'
_symmetry_Int_Tables_number 1
_symmetry_space_group_name_Hall 'P 1'
_cell_length_a 7.223
_cell_length_b 7.223
_cell_length_c 7.850
_cell_angle_alpha 122.88
_cell_angle_beta 122.88
_cell_angle_gamma 72.56
loop_
_atom_site_label
_atom_site_type_symbol
_atom_site_fract_x
_atom_site_fract_y
_atom_site_fract_z
Y1 Y 0.053 0.053 0.345
Y2 Y 0.947 0.947 0.655
Er1 Er 0.057 0.449 0.207
Er2 Er 0.445 0.445 0.742
Er3 Er 0.449 0.057 0.207
Er4 Er 0.551 0.943 0.793
Er5 Er 0.555 0.555 0.258
Er6 Er 0.943 0.551 0.793
Tc1 Tc 0.252 0.252 0.879
Tc2 Tc 0.748 0.748 0.121